Entry 1:
VASP calculation (PBE) on a relaxed LiZn6Au6 crystal.

Properties
**DFT formation energy**: -236 meV/atom
**Energy relative to the lowest polymorph listed for this composition**: 0.0053 eV per atom

Lattice parameters (Å, degrees): 5.260 9.051 9.164 90.00 90.00 90.00
Space group Immm (No. 71)
Asymmetric unit:
Li: 0.000 0.000 0.000 x2
Zn: 0.000 0.258 0.500 x4
Zn: 0.250 0.250 0.250 x8
Au: 0.000 0.000 0.336 x4
Au: 0.000 0.337 0.000 x4
Au: 0.000 0.500 0.332 x4



Entry 2:
VASP calculation (PBE) on a relaxed PuTl2IrO6 crystal.

Properties
**Uncorrected formation energy**: -1.376 eV per atom

Lattice parameters (Å, degrees): 5.727 5.727 10.849 90.00 90.00 90.00
Space group I4/mmm (No. 139)
Asymmetric unit:
Pu: 0.000 0.000 0.000 x2
Tl: 0.000 0.500 0.250 x4
Ir: 0.000 0.000 0.500 x2
O: 0.000 0.000 0.173 x4
O: 0.235 0.235 0.500 x8



Entry 3:
VASP calculation (PBE) on a relaxed Mg3BiAs crystal.

Properties
**DFT formation energy**: -224 meV/atom
**Energy relative to the lowest polymorph listed for this composition**: 0.0000 eV per atom

Lattice parameters (Å, degrees): 5.046 5.046 5.046 90.00 90.00 90.00
Space group Pm-3m (No. 221)
Asymmetric unit:
Mg: 0.000 0.000 0.500 x3
Bi: 0.500 0.500 0.500 x1
As: 0.000 0.000 0.000 x1



Entry 4:
VASP calculation (PBE) on a relaxed LiSmPa2Pt4 crystal.

Properties
**DFT formation energy**: -865 meV/atom

Lattice parameters (Å, degrees): 4.8170 4.8170 25.3770 90.00 90.00 120.00
Space group R-3m (No. 166, hexagonal axes)
Asymmetric unit:
Li: 0.0000 0.0000 0.0000 x3
Sm: 0.0000 0.0000 0.5000 x3
Pa: 0.0000 0.0000 0.2646 x6
Pt: 0.0000 0.0000 0.1058 x6
Pt: 0.0000 0.0000 0.3808 x6



Entry 5:
VASP calculation (PBE) on a relaxed Be2ZnSi crystal.

Properties
**Energy relative to the lowest polymorph listed for this composition**: 0.0347 eV per atom
**Uncorrected formation energy**: 0.308 eV per atom

Lattice parameters (Å, degrees): 5.282 6.986 2.505 90.00 90.51 90.00
Space group C2/m (No. 12)
Asymmetric unit:
Be: 0.250 0.250 0.000 x4
Zn: 0.000 0.000 0.500 x2
Si: 0.000 0.500 0.500 x2



Entry 6:
VASP calculation (PBE) on a relaxed LiGe3Pt3 crystal.

Properties
**DFT formation energy**: -235 meV/atom
**Energy relative to the lowest polymorph listed for this composition**: 0.2106 eV per atom

Lattice parameters (Å, degrees): 6.895 6.895 6.895 90.00 90.00 90.00
Space group Pm-3n (No. 223)
Asymmetric unit:
Li: 0.000 0.000 0.000 x2
Ge: 0.000 0.250 0.500 x6
Pt: 0.000 0.500 0.250 x6



Entry 7:
VASP calculation (PBE) on a relaxed KCd10Hg2 crystal.

Properties
**DFT formation energy**: -21 meV/atom
**Energy relative to the lowest polymorph listed for this composition**: 0.0105 eV per atom

Lattice parameters (Å, degrees): 6.115 14.510 14.582 90.00 90.00 90.00
Space group Fmmm (No. 69)
Asymmetric unit:
K: 0.000 0.000 0.000 x4
Cd: 0.000 0.108 0.392 x16
Cd: 0.000 0.177 0.179 x16
Cd: 0.250 0.000 0.250 x8
Hg: 0.250 0.250 0.000 x8



Entry 8:
VASP calculation (PBE) on a relaxed P2S2Br crystal.

Properties
**Energy relative to the lowest polymorph listed for this composition**: 0.7666 eV per atom
**Uncorrected formation energy**: 0.730 eV per atom

Lattice parameters (Å, degrees): 4.386 4.386 5.119 90.00 90.00 90.00
Space group P4/mmm (No. 123)
Asymmetric unit:
P: 0.000 0.000 0.000 x1
P: 0.000 0.000 0.500 x1
S: 0.000 0.500 0.000 x2
Br: 0.500 0.500 0.500 x1



Entry 9:
VASP calculation (PBE) on a relaxed Sm2PdRh2 crystal.

Properties
**DFT formation energy**: -721 meV/atom

Lattice parameters (Å, degrees): 4.526 5.682 8.118 90.00 90.00 90.00
Space group Immm (No. 71)
Asymmetric unit:
Sm: 0.000 0.000 0.205 x4
Pd: 0.000 0.500 0.000 x2
Rh: 0.000 0.266 0.500 x4



Entry 10:
VASP calculation (PBE) on a relaxed YGa2Au4 crystal.

Properties
**DFT formation energy**: -488 meV/atom

Lattice parameters (Å, degrees): 17.817 4.500 6.769 90.00 90.00 90.00
Space group Pnma (No. 62)
Asymmetric unit:
Y: 0.137 0.250 0.009 x4
Ga: 0.039 0.750 0.230 x4
Ga: 0.220 0.250 0.522 x4
Au: 0.036 0.750 0.813 x4
Au: 0.075 0.250 0.512 x4
Au: 0.181 0.750 0.305 x4
Au: 0.192 0.750 0.728 x4



Copy entry 10 word for word.
VASP calculation (PBE) on a relaxed YGa2Au4 crystal.

Properties
**DFT formation energy**: -488 meV/atom

Lattice parameters (Å, degrees): 17.817 4.500 6.769 90.00 90.00 90.00
Space group Pnma (No. 62)
Asymmetric unit:
Y: 0.137 0.250 0.009 x4
Ga: 0.039 0.750 0.230 x4
Ga: 0.220 0.250 0.522 x4
Au: 0.036 0.750 0.813 x4
Au: 0.075 0.250 0.512 x4
Au: 0.181 0.750 0.305 x4
Au: 0.192 0.750 0.728 x4



Copy entry 10 word for word.
VASP calculation (PBE) on a relaxed YGa2Au4 crystal.

Properties
**DFT formation energy**: -488 meV/atom

Lattice parameters (Å, degrees): 17.817 4.500 6.769 90.00 90.00 90.00
Space group Pnma (No. 62)
Asymmetric unit:
Y: 0.137 0.250 0.009 x4
Ga: 0.039 0.750 0.230 x4
Ga: 0.220 0.250 0.522 x4
Au: 0.036 0.750 0.813 x4
Au: 0.075 0.250 0.512 x4
Au: 0.181 0.750 0.305 x4
Au: 0.192 0.750 0.728 x4